DFT (PBE) results for a relaxed La3Pr4Te8 crystal.

a b c (Å): 12.8401 12.8427 9.0557
angles (deg): 90.00 134.84 90.00
With the nearest neighbours (Å) after each atom.
Space group C2/m (No. 12)
Inequivalent atoms, fractional coordinates:
La1 0.0000 0.0000 0.0000 x2  6 Te 3.22
La2 0.2500 0.2500 0.0000 x4  6 Te 3.21
Pr1 0.0000 0.5000 0.0000 x2  6 Te 3.20
Pr2 0.0000 0.5000 0.5000 x2  6 Te 3.26-3.27
Pr3 0.2500 0.2500 0.5000 x4  6 Te 3.21
Te1 0.0000 0.2459 0.5000 x4  3 Pr 3.21-3.26, 2 La 3.21
Te2 0.0000 0.2507 0.0000 x4  3 Pr 3.20-3.21, 3 La 3.21-3.22
Te3 0.2463 0.0000 0.5014 x4  4 Pr 3.20-3.27, 1 La 3.22
Te4 0.2469 0.0000 0.9923 x4  2 Pr 3.20-3.26, 3 La 3.21-3.22

Computed properties:
Electronic total energy (eV/f.u.): -82.0